## CdBCl (PBE)

Data for a relaxed structure of CdBCl.

Structure (POSCAR):
```
CdBCl
1.0
-1.650 2.141 8.177
1.650 -2.141 8.177
1.650 2.141 -8.177
Cd B Cl
2 2 2
Cartesian
0.000 0.000 0.000 Cd
0.000 2.141 3.399 Cd
0.797 2.141 1.034 B
0.853 0.000 9.212 B
1.650 0.000 3.901 Cl
0.000 2.141 6.142 Cl
```

Summary:
Excess energy over the best structure of this formula in the dataset   0.00 eV/f.u.
Calculated volume   115.5 Å³/cell
Uncorrected formation energy   -0.20 eV/atom
Electronic total energy   -10.04 eV/f.u.

## TcTeO2F (PBE)

Data for a relaxed structure of TcTeO2F.

Structure (POSCAR):
```
TcTeO2F
1.0
4.209 0.000 0.000
0.000 4.209 0.000
0.000 0.000 4.566
Tc Te O F
1 1 2 1
Cartesian
0.000 0.000 0.000 Tc
2.104 2.104 2.283 Te
0.000 2.104 2.283 O
2.104 0.000 2.283 O
2.104 2.104 0.000 F
```

Summary:
Calculated volume   80.9 Å³/cell
Uncorrected formation energy   -0.02 eV/atom
Electronic total energy   -25.41 eV/f.u.

Question: The lowest uncorrected formation energy belongs to which entry?
Answer: CdBCl

Question: What is the formula in the second record?
Answer: TcTeO2F